1.
VASP calculation (GGA-PBE) on an optimized crystal structure of SiBr3O.

CIF file:
```
data_SiBr3O
_chemical_formula_sum 'Si1 Br3 O1'
_symmetry_space_group_name_H-M 'P m -3 m'
_symmetry_Int_Tables_number 221
_symmetry_space_group_name_Hall '-P 4 2 3'
_cell_length_a 4.764
_cell_length_b 4.764
_cell_length_c 4.764
_cell_angle_alpha 90.00
_cell_angle_beta 90.00
_cell_angle_gamma 90.00
loop_
_atom_site_label
_atom_site_fract_x
_atom_site_fract_y
_atom_site_fract_z
Si1 0.000 0.000 0.000
Br1 0.000 0.500 0.500
O1 0.500 0.500 0.500
```



2.
VASP calculation (GGA-PBE) on an optimized crystal structure of Si3BrO.

CIF file:
```
data_Si3BrO
_chemical_formula_sum 'Si3 Br1 O1'
_symmetry_space_group_name_H-M 'P m -3 m'
_symmetry_Int_Tables_number 221
_symmetry_space_group_name_Hall '-P 4 2 3'
_cell_length_a 5.038
_cell_length_b 5.038
_cell_length_c 5.038
_cell_angle_alpha 90.00
_cell_angle_beta 90.00
_cell_angle_gamma 90.00
loop_
_atom_site_label
_atom_site_fract_x
_atom_site_fract_y
_atom_site_fract_z
Si1 0.000 0.000 0.500
Br1 0.000 0.000 0.000
O1 0.500 0.500 0.500
```



3.
VASP calculation (GGA-PBE) on an optimized crystal structure of Si2BrO.

CIF file:
```
data_Si2BrO
_chemical_formula_sum 'Si8 Br4 O4'
_symmetry_space_group_name_H-M 'F m -3 m'
_symmetry_Int_Tables_number 225
_symmetry_space_group_name_Hall '-F 4 2 3'
_cell_length_a 6.380
_cell_length_b 6.380
_cell_length_c 6.380
_cell_angle_alpha 90.00
_cell_angle_beta 90.00
_cell_angle_gamma 90.00
loop_
_atom_site_label
_atom_site_fract_x
_atom_site_fract_y
_atom_site_fract_z
Si1 0.250 0.250 0.250
Br1 0.000 0.000 0.000
O1 0.000 0.000 0.500
```



4.
VASP calculation (GGA-PBE) on an optimized crystal structure of SiBrO3.

CIF file:
```
data_SiBrO3
_chemical_formula_sum 'Si1 Br1 O3'
_symmetry_space_group_name_H-M 'P m -3 m'
_symmetry_Int_Tables_number 221
_symmetry_space_group_name_Hall '-P 4 2 3'
_cell_length_a 3.624
_cell_length_b 3.624
_cell_length_c 3.624
_cell_angle_alpha 90.00
_cell_angle_beta 90.00
_cell_angle_gamma 90.00
loop_
_atom_site_label
_atom_site_fract_x
_atom_site_fract_y
_atom_site_fract_z
Si1 0.000 0.000 0.000
Br1 0.500 0.500 0.500
O1 0.000 0.000 0.500
```



5.
VASP calculation (GGA-PBE) on an optimized crystal structure of SiBrO.

CIF file:
```
data_SiBrO
_chemical_formula_sum 'Si3 Br3 O3'
_symmetry_space_group_name_H-M 'P 32'
_symmetry_Int_Tables_number 145
_cell_length_a 6.8350
_cell_length_b 6.8350
_cell_length_c 6.8336
_cell_angle_alpha 90.00
_cell_angle_beta 90.00
_cell_angle_gamma 120.00
loop_
_symmetry_equiv_pos_as_xyz
'x,y,z'
'-y,x-y,z+2/3'
'-x+y,-x,z+1/3'
loop_
_atom_site_label
_atom_site_fract_x
_atom_site_fract_y
_atom_site_fract_z
Si1 0.2137 0.4351 0.0000
Br1 0.2861 0.1480 0.1691
O1 0.1989 0.6050 0.1633
```



6.
VASP calculation (GGA-PBE) on an optimized crystal structure of SiBr3O.

CIF file:
```
data_SiBr3O
_chemical_formula_sum 'Si1 Br3 O1'
_symmetry_space_group_name_H-M 'P m -3 m'
_symmetry_Int_Tables_number 221
_symmetry_space_group_name_Hall '-P 4 2 3'
_cell_length_a 4.996
_cell_length_b 4.996
_cell_length_c 4.996
_cell_angle_alpha 90.00
_cell_angle_beta 90.00
_cell_angle_gamma 90.00
loop_
_atom_site_label
_atom_site_fract_x
_atom_site_fract_y
_atom_site_fract_z
Si1 0.000 0.000 0.000
Br1 0.000 0.000 0.500
O1 0.500 0.500 0.500
```



7.
VASP calculation (GGA-PBE) on an optimized crystal structure of Si3BrO.

CIF file:
```
data_Si3BrO
_chemical_formula_sum 'Si3 Br1 O1'
_symmetry_space_group_name_H-M 'P m -3 m'
_symmetry_Int_Tables_number 221
_symmetry_space_group_name_Hall '-P 4 2 3'
_cell_length_a 4.464
_cell_length_b 4.464
_cell_length_c 4.464
_cell_angle_alpha 90.00
_cell_angle_beta 90.00
_cell_angle_gamma 90.00
loop_
_atom_site_label
_atom_site_fract_x
_atom_site_fract_y
_atom_site_fract_z
Si1 0.000 0.000 0.500
Br1 0.500 0.500 0.500
O1 0.000 0.000 0.000
```



8.
VASP calculation (GGA-PBE) on an optimized crystal structure of Sm4Br6O.

CIF file:
```
data_Sm4Br6O
_chemical_formula_sum 'Sm8 Br12 O2'
_symmetry_space_group_name_H-M 'P 63 m c'
_symmetry_Int_Tables_number 186
_symmetry_space_group_name_Hall 'P 6c -2c'
_cell_length_a 9.3556
_cell_length_b 9.3556
_cell_length_c 8.0398
_cell_angle_alpha 90.00
_cell_angle_beta 90.00
_cell_angle_gamma 120.00
loop_
_atom_site_label
_atom_site_fract_x
_atom_site_fract_y
_atom_site_fract_z
Sm1 0.1952 0.3904 0.0000
Sm2 0.3333 0.6667 0.3155
Br1 0.0374 0.5187 0.6853
Br2 0.1355 0.2709 0.3685
O1 0.3333 0.6667 0.0177
```



9.
VASP calculation (GGA-PBE) on an optimized crystal structure of Sm2Br2O.

CIF file:
```
data_Sm2Br2O
_chemical_formula_sum 'Sm2 Br2 O1'
_symmetry_space_group_name_H-M 'P 4/m m m'
_symmetry_Int_Tables_number 123
_symmetry_space_group_name_Hall '-P 4 2'
_cell_length_a 4.254
_cell_length_b 4.254
_cell_length_c 13.920
_cell_angle_alpha 90.00
_cell_angle_beta 90.00
_cell_angle_gamma 90.00
loop_
_atom_site_label
_atom_site_fract_x
_atom_site_fract_y
_atom_site_fract_z
Sm1 0.000 0.000 0.152
Br1 0.000 0.000 0.344
O1 0.000 0.000 0.000
```



10.
VASP calculation (GGA-PBE) on an optimized crystal structure of SmBrO.

CIF file:
```
data_SmBrO
_chemical_formula_sum 'Sm1 Br1 O1'
_symmetry_space_group_name_H-M 'P 3 m 1'
_symmetry_Int_Tables_number 156
_cell_length_a 3.8889
_cell_length_b 3.8889
_cell_length_c 4.8731
_cell_angle_alpha 90.00
_cell_angle_beta 90.00
_cell_angle_gamma 120.00
loop_
_symmetry_equiv_pos_as_xyz
'x,y,z'
'-y,x-y,z'
'-x+y,-x,z'
'-y,-x,z'
'-x+y,y,z'
'x,x-y,z'
loop_
_atom_site_label
_atom_site_fract_x
_atom_site_fract_y
_atom_site_fract_z
Sm1 0.0000 0.0000 0.0000
Br1 0.3333 0.6667 0.4968
O1 0.6667 0.3333 0.9969
```



11.
VASP calculation (GGA-PBE) on an optimized crystal structure of SmBrO.

CIF file:
```
data_SmBrO
_chemical_formula_sum 'Sm16 Br16 O16'
_symmetry_space_group_name_H-M 'F d d d'
_symmetry_Int_Tables_number 70
_cell_length_a 7.513
_cell_length_b 11.052
_cell_length_c 11.804
_cell_angle_alpha 90.00
_cell_angle_beta 90.00
_cell_angle_gamma 90.00
loop_
_symmetry_equiv_pos_as_xyz
'x,y,z'
'-x,-y,-z'
'-x+1/4,-y+1/4,z'
'x+1/4,y+1/4,-z'
'x,-y+1/4,-z+1/4'
'-x,y+1/4,z+1/4'
'-x+1/4,y,-z+1/4'
'x+1/4,-y,z+1/4'
'x,y+1/2,z+1/2'
'-x,-y+1/2,-z+1/2'
'-x+1/4,-y+3/4,z+1/2'
'x+1/4,y+3/4,-z+1/2'
'x,-y+3/4,-z+3/4'
'-x,y+3/4,z+3/4'
'-x+1/4,y+1/2,-z+3/4'
'x+1/4,-y+1/2,z+3/4'
'x+1/2,y,z+1/2'
'-x+1/2,-y,-z+1/2'
'-x+3/4,-y+1/4,z+1/2'
'x+3/4,y+1/4,-z+1/2'
'x+1/2,-y+1/4,-z+3/4'
'-x+1/2,y+1/4,z+3/4'
'-x+3/4,y,-z+3/4'
'x+3/4,-y,z+3/4'
'x+1/2,y+1/2,z'
'-x+1/2,-y+1/2,-z'
'-x+3/4,-y+3/4,z'
'x+3/4,y+3/4,-z'
'x+1/2,-y+3/4,-z+1/4'
'-x+1/2,y+3/4,z+1/4'
'-x+3/4,y+1/2,-z+1/4'
'x+3/4,-y+1/2,z+1/4'
loop_
_atom_site_label
_atom_site_fract_x
_atom_site_fract_y
_atom_site_fract_z
Sm1 0.125 0.286 0.125
Br1 0.000 0.000 0.500
O1 0.125 0.125 0.251
```



12.
VASP calculation (GGA-PBE) on an optimized crystal structure of SmBrO.

CIF file:
```
data_SmBrO
_chemical_formula_sum 'Sm4 Br4 O4'
_symmetry_space_group_name_H-M 'I 4/m m m'
_symmetry_Int_Tables_number 139
_symmetry_space_group_name_Hall '-I 4 2'
_cell_length_a 3.772
_cell_length_b 3.772
_cell_length_c 19.695
_cell_angle_alpha 90.00
_cell_angle_beta 90.00
_cell_angle_gamma 90.00
loop_
_atom_site_label
_atom_site_fract_x
_atom_site_fract_y
_atom_site_fract_z
Sm1 0.000 0.000 0.073
Br1 0.000 0.000 0.342
O1 0.000 0.500 0.000
```



Computed values of E_form (uncorrected) (unit: meV per atom) for the preceding records, in sequence: 682; 1827; 668; -713; -1248; 634; 622; -1687; -1104; -2674; -2601; -2429.
Computed values of total moment (unit: μB/cell) for the preceding records, in sequence: 0.0; 1.6; 0.0; 0.0; 0.0; 0.0; 0.0; 0.0; 0.0; 0.0; 0.0; 0.0.